A geometry-optimized DyMn4Cu3O12 structure. Source: the Alexandria database, functional PBE with a Hubbard U.

The structure in POSCAR format:
```
DyMn4Cu3O12
1.0
-3.705 3.705 3.705
3.705 -3.705 3.705
3.705 3.705 -3.705
Dy Mn Cu O
1 4 3 12
direct
0.000 0.000 0.000 Dy
0.000 0.000 0.500 Mn
0.000 0.500 0.000 Mn
0.500 0.000 0.000 Mn
0.500 0.500 0.500 Mn
0.000 0.500 0.500 Cu
0.500 0.000 0.500 Cu
0.500 0.500 0.000 Cu
0.133 0.831 0.302 O
0.169 0.302 0.472 O
0.169 0.698 0.867 O
0.302 0.133 0.831 O
0.302 0.472 0.169 O
0.472 0.169 0.302 O
0.528 0.831 0.698 O
0.698 0.528 0.831 O
0.698 0.867 0.169 O
0.831 0.302 0.133 O
0.831 0.698 0.528 O
0.867 0.169 0.698 O
```

* raw total energy: -6.7396 eV per atom
* Fermi-level density of states: 0.422 states/eV per atom
* SG: Im-3 (204)